1.
Density functional theory data (PBE-GGA) for Tb3MgTlCd2Ga2 after structural relaxation.

It has space group Amm2 (No. 38), with a = 4.5552 Å, b = 12.7343 Å, c = 7.3293 Å, α = 90.00°, β = 90.00° and γ = 90.00°. The asymmetric unit holds Tb at (0.0000, 0.0000, 0.0000), Tb at (0.0000, 0.2189, 0.3489), Mg at (0.5000, 0.0000, 0.3195), Tl at (0.0000, 0.0000, 0.5595), Cd at (0.5000, 0.1297, 0.6953) and Ga at (0.5000, 0.1637, 0.0692).

Its energy is -3.312 eV per atom.

2.
Density functional theory data (PBE-GGA) for Tb3Mg2TlCdGa2 after structural relaxation.

It has space group Amm2 (No. 38), with a = 4.5603 Å, b = 12.7315 Å, c = 7.3331 Å, α = 90.00°, β = 90.00° and γ = 90.00°. The asymmetric unit holds Tb at (0.0000, 0.0000, 0.0000), Tb at (0.0000, 0.2173, 0.6584), Mg at (0.5000, 0.1252, 0.3176), Tl at (0.0000, 0.0000, 0.4325), Cd at (0.5000, 0.0000, 0.6968) and Ga at (0.5000, 0.1686, 0.9423).

Its energy is -3.380 eV per atom.

3.
Density functional theory data (PBE-GGA) for Tm3Mg3Cd2Ga after structural relaxation.

It has space group P-62m (No. 189), with a = 7.5330 Å, b = 7.5330 Å, c = 4.3634 Å, α = 90.00°, β = 90.00° and γ = 120.00°. The asymmetric unit holds Tm at (0.0000, 0.5892, 0.0000), Mg at (0.0000, 0.2378, 0.5000), Cd at (0.3333, 0.6667, 0.5000) and Ga at (0.0000, 0.0000, 0.0000).

Its energy is -2.826 eV per atom.

4.
Density functional theory data (PBE-GGA) for Y2TmMg3CdGa2 after structural relaxation.

It has space group Amm2 (No. 38), with a = 4.4505 Å, b = 12.6909 Å, c = 7.3765 Å, α = 90.00°, β = 90.00° and γ = 90.00°. The asymmetric unit holds Y at (0.0000, 0.2159, 0.0000), Tm at (0.0000, 0.0000, 0.6489), Mg at (0.5000, 0.0000, 0.9678), Mg at (0.5000, 0.1246, 0.3415), Cd at (0.0000, 0.0000, 0.2200) and Ga at (0.5000, 0.1653, 0.7158).

Its energy is -3.667 eV per atom.

5.
Density functional theory data (PBE-GGA) for YTm2Mg3CdGa2 after structural relaxation.

It has space group Amm2 (No. 38), with a = 4.4402 Å, b = 12.7230 Å, c = 7.2955 Å, α = 90.00°, β = 90.00° and γ = 90.00°. The asymmetric unit holds Y at (0.0000, 0.0000, 0.0000), Tm at (0.0000, 0.2166, 0.6487), Mg at (0.5000, 0.0000, 0.6822), Mg at (0.5000, 0.1246, 0.3086), Cd at (0.0000, 0.0000, 0.4361) and Ga at (0.5000, 0.1680, 0.9320).

Its energy is -3.430 eV per atom.

6.
Density functional theory data (PBE-GGA) for Y3Mg3CdGa2 after structural relaxation.

It has space group P-62m (No. 189), with a = 7.3990 Å, b = 7.3990 Å, c = 4.4336 Å, α = 90.00°, β = 90.00° and γ = 120.00°. The asymmetric unit holds Y at (0.0000, 0.5705, 0.0000), Mg at (0.0000, 0.2506, 0.5000), Cd at (0.0000, 0.0000, 0.0000) and Ga at (0.3333, 0.6667, 0.5000).

Its energy is -3.903 eV per atom.

7.
Density functional theory data (PBE-GGA) for Y3Mg3Cd2Ga after structural relaxation.

It has space group P-62m (No. 189), with a = 7.6183 Å, b = 7.6183 Å, c = 4.3951 Å, α = 90.00°, β = 90.00° and γ = 120.00°. The asymmetric unit holds Y at (0.0000, 0.5928, 0.0000), Mg at (0.0000, 0.2382, 0.5000), Cd at (0.3333, 0.6667, 0.5000) and Ga at (0.0000, 0.0000, 0.0000).

Its energy is -3.536 eV per atom.

8.
Density functional theory data (PBE-GGA) for CdGaMo after structural relaxation.

It has space group F-43m (No. 216), with a = 6.3300 Å, b = 6.3300 Å, c = 6.3300 Å, α = 90.00°, β = 90.00° and γ = 90.00°. The asymmetric unit holds Cd at (0.0000, 0.0000, 0.0000), Ga at (0.0000, 0.0000, 0.5000) and Mo at (0.2500, 0.2500, 0.2500).

The relative energy among the computed polymorphs is 0 meV/atom.

9.
Density functional theory data (PBE-GGA) for CdGa2Mo after structural relaxation.

It has space group F-43m (No. 216), with a = 6.5226 Å, b = 6.5226 Å, c = 6.5226 Å, α = 90.00°, β = 90.00° and γ = 90.00°. The asymmetric unit holds Cd at (0.0000, 0.0000, 0.0000), Ga at (0.0000, 0.0000, 0.5000), Ga at (0.2500, 0.2500, 0.2500) and Mo at (0.2500, 0.2500, 0.7500).

Its energy is -3.885 eV per atom.

10.
Density functional theory data (PBE-GGA) for CdGaMo4N2 after structural relaxation.

It has space group P-6m2 (No. 187), with a = 2.8859 Å, b = 2.8859 Å, c = 14.9126 Å, α = 90.00°, β = 90.00° and γ = 120.00°. The asymmetric unit holds Cd at (0.0000, 0.0000, 0.0000), Ga at (0.6667, 0.3333, 0.5000), Mo at (0.0000, 0.0000, 0.3515), Mo at (0.6667, 0.3333, 0.1672) and N at (0.3333, 0.6667, 0.2589).

Its energy is -8.046 eV per atom.

11.
Density functional theory data (PBE-GGA) for Cd3Ga2N4 after structural relaxation.

It has space group C2/c (No. 15), with a = 9.7650 Å, b = 9.0887 Å, c = 5.5888 Å, α = 90.00°, β = 93.95° and γ = 90.00°. The asymmetric unit holds Cd at (0.0000, 0.1238, 0.2500), Cd at (0.1103, 0.3536, 0.5711), Ga at (0.2143, 0.1145, 0.8879), N at (0.1119, 0.2951, 0.9903) and N at (0.1822, 0.0753, 0.5410).

Its energy is -4.420 eV per atom.

12.
Density functional theory data (PBE-GGA) for CdGaNO after structural relaxation.

It has space group Pmc2_1 (No. 26), with a = 3.3007 Å, b = 6.0404 Å, c = 5.4753 Å, α = 90.00°, β = 90.00° and γ = 90.00°. The asymmetric unit holds Cd at (0.0000, 0.1553, 0.0000), Ga at (0.5000, 0.3382, 0.4900), N at (0.0000, 0.1999, 0.4039) and O at (0.5000, 0.3735, 0.8421).

The relative energy among the computed polymorphs is 34 meV/atom.